1.
VASP calculation (PBE) on a relaxed Tm3MgIn3AgAu crystal.

Output
The total energy comes out at -3.7026 eV/atom.

Cell: 8.007 8.007 3.801 Å, 90.00 90.00 120.00°
Atoms (fractional coordinates):
Ag  0.000  0.000  0.000
Au  0.333  0.667  0.500
In  0.277  0.019  0.500
In  0.981  0.259  0.500
In  0.741  0.723  0.500
Mg  0.667  0.333  0.500
Tm  0.380  0.406  0.000
Tm  0.026  0.620  0.000
Tm  0.594  0.974  0.000

2.
VASP calculation (PBE) on a relaxed NaLaCdTe3 crystal.

Output
The total energy comes out at -3.7972 eV/atom.

Cell: 12.106 4.539 14.709 Å, 90.00 90.00 90.00°
Atoms (fractional coordinates):
Cd  0.744  0.250  0.224
Cd  0.244  0.250  0.276
Cd  0.756  0.750  0.724
Cd  0.256  0.750  0.776
La  0.993  0.750  0.246
La  0.493  0.750  0.254
La  0.507  0.250  0.746
La  0.007  0.250  0.754
Na  0.735  0.750  0.020
Na  0.235  0.750  0.480
Na  0.765  0.250  0.520
Na  0.265  0.250  0.980
Te  0.924  0.250  0.102
Te  0.558  0.250  0.108
Te  0.245  0.750  0.155
Te  0.745  0.750  0.345
Te  0.058  0.250  0.392
Te  0.424  0.250  0.398
Te  0.576  0.750  0.602
Te  0.942  0.750  0.608
Te  0.255  0.250  0.655
Te  0.755  0.250  0.845
Te  0.442  0.750  0.892
Te  0.076  0.750  0.898

3.
VASP calculation (PBE) on a relaxed TbNdW2C3 crystal.

Output
The total energy comes out at -9.2535 eV/atom.

Cell: 6.280 6.280 5.831 Å, 113.17 113.17 31.13°
Atoms (fractional coordinates):
C  0.747  0.747  0.270
C  0.249  0.249  0.729
C  0.001  0.001  0.992
Nd  0.393  0.393  0.190
Tb  0.611  0.611  0.821
W  0.156  0.156  0.323
W  0.842  0.842  0.675

4.
VASP calculation (PBE) on a relaxed BaBePt crystal.

Output
The total energy comes out at -3.6909 eV/atom.

Cell: 4.728 4.728 4.728 Å, 60.00 60.00 60.00°
Atoms (fractional coordinates):
Ba  0.250  0.250  0.250
Be  0.000  0.000  0.000
Pt  0.750  0.750  0.750

5.
VASP calculation (PBE) on a relaxed LaPrTl crystal.

Output
The total energy comes out at -4.1121 eV/atom.

Cell: 5.394 5.394 5.394 Å, 60.00 60.00 60.00°
Atoms (fractional coordinates):
La  0.250  0.250  0.250
Pr  0.750  0.750  0.750
Tl  0.000  0.000  0.000

6.
VASP calculation (PBE) on a relaxed Ho2ErFe2Co7 crystal.

Output
The calculation puts the energy of formation at -0.1967 eV per atom.

Cell: 8.425 8.425 8.425 Å, 34.70 34.70 34.70°
Atoms (fractional coordinates):
Co  0.583  0.583  0.079
Co  0.921  0.417  0.417
Co  0.417  0.921  0.417
Co  0.500  0.500  0.500
Co  0.583  0.079  0.583
Co  0.079  0.583  0.583
Co  0.417  0.417  0.921
Er  0.000  0.000  0.000
Fe  0.334  0.334  0.334
Fe  0.666  0.666  0.666
Ho  0.141  0.141  0.141
Ho  0.859  0.859  0.859

7.
VASP calculation (PBE) on a relaxed BaSrCdCl2O2 crystal.

Output
The total energy comes out at -4.7298 eV/atom.

Cell: 6.511 6.511 7.581 Å, 119.75 119.75 36.33°
Atoms (fractional coordinates):
Ba  0.811  0.811  0.259
Cd  0.996  0.996  0.987
Cl  0.574  0.574  0.365
Cl  0.431  0.431  0.659
O  0.179  0.179  0.059
O  0.812  0.812  0.917
Sr  0.197  0.197  0.753

8.
VASP calculation (PBE) on a relaxed Sm2DyMg3AgHg2 crystal.

Output
The total energy comes out at -2.8217 eV/atom.

Cell: 4.225 7.844 7.844 Å, 119.90 90.00 90.00°
Atoms (fractional coordinates):
Ag  0.000  0.003  0.003
Dy  0.000  0.409  0.409
Hg  0.500  0.663  0.335
Hg  0.500  0.335  0.663
Mg  0.500  0.244  0.001
Mg  0.500  0.001  0.244
Mg  0.500  0.757  0.757
Sm  0.000  0.000  0.590
Sm  0.000  0.590  0.000